Material: CoRhCl2F
Method: DFT, PBE with a Hubbard U
State: relaxed

Computed properties:
Energy ... -19.00 eV/f.u.
Space-group type ... P4/mmm

abc: 4.871 4.871 3.688
angles: 90.00 90.00 90.00
Element x y z (fractional)
Co  0.000  0.000  0.000
Rh  0.500  0.500  0.500
Cl  0.000  0.500  0.000
Cl  0.500  0.000  0.000
F  0.000  0.000  0.500